Entry 1:
The following is a PBE calculation of a relaxed structure of K2GeBiS4, from Alexandria via LeMat-Bulk.

Calculated values
The value obtained for the energy relative to the elements, uncorrected is -0.613 eV/atom. As for the symmetry: I-4.

Geometry as CIF:
```
data_K2GeBiS4
_chemical_formula_sum 'K2 Ge1 Bi1 S4'
_space_group_name_H-M_alt 'P 1'
_space_group_IT_number 1
_cell_length_a 7.520
_cell_length_b 7.520
_cell_length_c 7.520
_cell_angle_alpha 81.41
_cell_angle_beta 125.08
_cell_angle_gamma 125.08
loop_
_space_group_symop_operation_xyz
'x,y,z'
loop_
_atom_site_label
_atom_site_type_symbol
_atom_site_fract_x
_atom_site_fract_y
_atom_site_fract_z
_atom_site_occupancy
S1 S 0.601 0.385 0.441 1
S2 S 0.944 0.559 0.160 1
S3 S 0.056 0.216 0.615 1
S4 S 0.399 0.840 0.784 1
Ge1 Ge 0.000 0.500 0.500 1
Bi1 Bi 0.500 0.250 0.750 1
K1 K 0.000 0.000 0.000 1
K2 K 0.500 0.750 0.250 1
```

=====

Entry 2:
The following is a PBE calculation of a relaxed structure of KGe2BiS6, from Alexandria via LeMat-Bulk.

Calculated values
The value obtained for the energy relative to the elements, uncorrected is -0.412 eV/atom. As for the symmetry: C2/c.

Geometry as CIF:
```
data_KGe2BiS6
_chemical_formula_sum 'K2 Ge4 Bi2 S12'
_space_group_name_H-M_alt 'P 1'
_space_group_IT_number 1
_cell_length_a 6.534
_cell_length_b 9.168
_cell_length_c 9.168
_cell_angle_alpha 91.66
_cell_angle_beta 83.67
_cell_angle_gamma 83.67
loop_
_space_group_symop_operation_xyz
'x,y,z'
loop_
_atom_site_label
_atom_site_type_symbol
_atom_site_fract_x
_atom_site_fract_y
_atom_site_fract_z
_atom_site_occupancy
S1 S 0.633 0.142 0.592 1
S2 S 0.704 0.781 0.993 1
S3 S 0.581 0.402 0.279 1
S4 S 0.296 0.219 0.007 1
S5 S 0.367 0.858 0.408 1
S6 S 0.867 0.408 0.858 1
S7 S 0.081 0.279 0.402 1
S8 S 0.919 0.721 0.598 1
S9 S 0.133 0.592 0.142 1
S10 S 0.204 0.993 0.781 1
S11 S 0.419 0.598 0.721 1
S12 S 0.796 0.007 0.219 1
K1 K 0.750 0.099 0.901 1
K2 K 0.250 0.901 0.099 1
Bi1 Bi 0.750 0.719 0.281 1
Bi2 Bi 0.250 0.281 0.719 1
Ge1 Ge 0.745 0.623 0.797 1
Ge2 Ge 0.755 0.203 0.377 1
Ge3 Ge 0.245 0.797 0.623 1
Ge4 Ge 0.255 0.377 0.203 1
```

=====

Entry 3:
The following is a PBE calculation of a relaxed structure of K3GeBi3S8, from Alexandria via LeMat-Bulk.

Calculated values
The value obtained for the energy relative to the elements, uncorrected is -0.652 eV/atom. As for the symmetry: R-3m.

Geometry as CIF:
```
data_K3GeBi3S8
_chemical_formula_sum 'K3 Ge1 Bi3 S8'
_space_group_name_H-M_alt 'P 1'
_space_group_IT_number 1
_cell_length_a 8.045
_cell_length_b 8.049
_cell_length_c 8.920
_cell_angle_alpha 116.85
_cell_angle_beta 90.00
_cell_angle_gamma 119.99
loop_
_space_group_symop_operation_xyz
'x,y,z'
loop_
_atom_site_label
_atom_site_type_symbol
_atom_site_fract_x
_atom_site_fract_y
_atom_site_fract_z
_atom_site_occupancy
K1 K 0.000 0.500 0.000 1
K2 K 0.000 0.000 0.000 1
K3 K 0.500 0.500 0.000 1
S1 S 0.208 0.416 0.688 1
S2 S 0.792 0.020 0.312 1
S3 S 0.772 0.980 0.688 1
S4 S 0.208 0.980 0.688 1
S5 S 0.262 0.525 0.287 1
S6 S 0.738 0.475 0.713 1
S7 S 0.792 0.584 0.312 1
S8 S 0.228 0.020 0.312 1
Bi1 Bi 0.500 0.500 0.500 1
Bi2 Bi 0.500 0.000 0.500 1
Bi3 Bi 0.000 0.500 0.500 1
Ge1 Ge 0.000 0.000 0.500 1
```

=====

| no. | total energy (eV/cell) |
| --- | --- |
| 1 | -32.110 |
| 2 | -86.187 |
| 3 | -62.351 |